No. 1
## Na2HfUSb4 (GGA-PBE)

Data for a relaxed Na2HfUSb4 crystal.

Cell lengths 4.3736, 7.3726, 7.8836 Å; angles 109.09, 90.00, 90.00 degrees
With the nearest neighbours (Å) after each atom.
Element x y z (fractional)
1 Sb 0.5000 0.7673 0.7867  2 Hf 2.94, 1 U 2.98, 3 Na 3.25-3.30
2 Sb 0.0000 0.2531 0.7803  1 Hf 2.93, 2 U 3.01, 2 Na 3.23
3 Sb 0.0000 0.7469 0.2197  1 Hf 2.93, 2 U 3.01, 2 Na 3.23
4 Sb 0.5000 0.2327 0.2133  2 Hf 2.94, 1 U 2.98, 3 Na 3.25-3.30
5 Na 0.0000 0.5000 0.5000  6 Sb 3.29-3.30
6 Na 0.5000 0.0000 0.5000  6 Sb 3.23-3.25
7 Hf 0.0000 0.0000 0.0000  6 Sb 2.93-2.94
8 U 0.5000 0.5000 0.0000  6 Sb 2.98-3.01

SG: P2/m (10)
V (Å³/cell): 240.2
Size of the total moment (μB/cell): 0.30
Crystal system: monoclinic
E_tot (eV per atom): -5.287

=====

No. 2
## NaGaF2 (GGA-PBE)

Data for a relaxed NaGaF2 crystal.

Cell lengths 2.9553, 2.9553, 6.2645 Å; angles 90.00, 90.00, 90.00 degrees
With the nearest neighbours (Å) after each atom.
Element x y z (fractional)
1 F 0.0000 0.0000 0.7790  4 Na 2.51, 4 Ga 2.72, 1 F 2.77
2 F 0.0000 0.0000 0.2210  4 Na 2.51, 4 Ga 2.72, 1 F 2.77
3 Ga 0.5000 0.5000 0.5000  8 F 2.72, 4 Ga 2.96
4 Na 0.5000 0.5000 0.0000  8 F 2.51

SG: P4/mmm (123)
V (Å³/cell): 54.7
Size of the total moment (μB/cell): 0.00
Crystal system: tetragonal
E_tot (eV per atom): -3.981

=====

No. 3
## Ta2W (GGA-PBE)

Data for a relaxed Ta2W crystal.

Cell lengths 2.8449, 4.6071, 8.0997 Å; angles 90.00, 90.00, 90.00 degrees
With the nearest neighbours (Å) after each atom.
Element x y z (fractional)
1 Ta 0.2871 0.0000 0.3336  3 W 2.77-2.79, 7 Ta 2.84-3.03
2 Ta 0.7871 0.5000 0.1664  3 W 2.77-2.79, 7 Ta 2.84-3.03
3 Ta 0.2129 0.5000 0.8336  3 W 2.77-2.79, 7 Ta 2.84-3.03
4 Ta 0.7129 0.0000 0.6664  3 W 2.77-2.79, 7 Ta 2.84-3.03
5 W 0.0000 0.5000 0.5000  6 Ta 2.77-2.79, 2 W 2.84
6 W 0.5000 0.0000 0.0000  6 Ta 2.77-2.79, 2 W 2.84

SG: Pnnm (58)
DFT formation energy (eV/atom): 0.0261
V (Å³/cell): 106.2
Size of the total moment (μB/cell): 0.00
Crystal system: orthorhombic
E_tot (eV per atom): -12.193

=====

No. 4
## Rb3Hg8Au3 (GGA-PBE)

Data for a relaxed Rb3Hg8Au3 crystal.

Cell lengths 5.2219, 9.6990, 9.5422 Å; angles 65.54, 74.12, 74.38 degrees
With the nearest neighbours (Å) after each atom.
Element x y z (fractional)
1 Rb 0.7081 0.2964 0.2875  10 Hg 3.55-3.96, 3 Au 3.66-3.73
2 Rb 0.0000 0.0000 0.0000  8 Hg 3.67-3.78, 4 Au 3.86
3 Rb 0.2919 0.7036 0.7125  10 Hg 3.55-3.96, 3 Au 3.66-3.73
4 Hg 0.1474 0.5679 0.1372  4 Au 2.97-3.15
5 Hg 0.3435 0.0264 0.2865  1 Au 2.89, 3 Hg 3.16-3.24
6 Hg 0.6565 0.9736 0.7135  1 Au 2.89, 3 Hg 3.16-3.24
7 Hg 0.4973 0.3332 0.6722  3 Au 2.97-3.15, 1 Hg 3.24
8 Hg 0.8526 0.4321 0.8628  4 Au 2.97-3.15
9 Hg 0.5027 0.6668 0.3278  3 Au 2.97-3.15, 1 Hg 3.24
10 Hg 0.1331 0.1639 0.5700  1 Au 2.96, 3 Hg 3.16-3.30
11 Hg 0.8669 0.8361 0.4300  1 Au 2.96, 3 Hg 3.16-3.30
12 Au 0.6537 0.6984 0.9943  5 Hg 2.89-3.14
13 Au 0.0000 0.5000 0.5000  8 Hg 2.96-3.15
14 Au 0.3463 0.3016 0.0057  5 Hg 2.89-3.14

SG: C2/m (12)
DFT formation energy (eV/atom): -0.1984
V (Å³/cell): 416.4
Size of the total moment (μB/cell): 0.00
Crystal system: monoclinic
E_tot (eV per atom): -1.280

=====

No. 5
## La3In (GGA-PBE)

Data for a relaxed La3In crystal.

Cell lengths 6.1993, 6.1993, 6.0653 Å; angles 80.51, 80.51, 34.62 degrees
With the nearest neighbours (Å) after each atom.
Element x y z (fractional)
1 La 0.5000 0.5000 0.5000  8 La 3.48-3.75, 4 In 3.55
2 La 0.2637 0.2637 0.2287  9 La 3.39-3.75, 3 In 3.44-3.63
3 La 0.7363 0.7363 0.7713  9 La 3.39-3.75, 3 In 3.44-3.63
4 In 0.0000 0.0000 0.0000  10 La 3.44-3.63, 2 In 3.69

SG: C2/m (12)
DFT formation energy (eV/atom): -0.2445
V (Å³/cell): 130.5
Size of the total moment (μB/cell): 0.00
Crystal system: monoclinic
E_tot (eV per atom): -4.625

=====

No. 6
## LaPmInGa (GGA-PBE)

Data for a relaxed LaPmInGa crystal.

Cell lengths 5.4058, 5.4058, 5.4058 Å; angles 60.00, 60.00, 60.00 degrees
With the nearest neighbours (Å) after each atom.
Element x y z (fractional)
1 Ga 0.2500 0.2500 0.2500  4 La 3.31, 4 Pm 3.31
2 La 0.5000 0.5000 0.5000  4 In 3.31, 4 Ga 3.31
3 In 0.7500 0.7500 0.7500  4 Pm 3.31, 4 La 3.31
4 Pm 0.0000 0.0000 0.0000  4 Ga 3.31, 4 In 3.31

SG: F-43m (216)
DFT formation energy (eV/atom): -0.5099
V (Å³/cell): 111.7
Size of the total moment (μB/cell): 0.00
Crystal system: cubic
E_tot (eV per atom): -4.371

=====

No. 7
## Cd6InGa2 (GGA-PBE)

Data for a relaxed Cd6InGa2 crystal.

Cell lengths 5.9942, 6.8363, 6.8363 Å; angles 50.14, 96.80, 96.80 degrees
With the nearest neighbours (Å) after each atom.
Element x y z (fractional)
1 Cd 0.1220 0.7755 0.7755  1 Ga 2.79, 1 In 2.97
2 Cd 0.4317 0.3712 0.8708  6 Cd 2.89-3.21, 2 Ga 3.03-3.12, 1 In 3.17
3 Cd 0.4317 0.8708 0.3712  6 Cd 2.89-3.21, 2 Ga 3.03-3.12, 1 In 3.17
4 Cd 0.5683 0.6288 0.1292  6 Cd 2.89-3.21, 2 Ga 3.03-3.12, 1 In 3.17
5 Cd 0.8780 0.2245 0.2245  1 Ga 2.79, 1 In 2.97
6 Cd 0.5683 0.1292 0.6288  6 Cd 2.89-3.21, 2 Ga 3.03-3.12, 1 In 3.17
7 Ga 0.8527 0.5735 0.5735  1 Ga 2.70, 1 Cd 2.79
8 Ga 0.1473 0.4265 0.4265  1 Ga 2.70, 1 Cd 2.79
9 In 0.0000 0.0000 0.0000  6 Cd 2.97-3.17, 4 Ga 3.20

SG: C2/m (12)
DFT formation energy (eV/atom): 0.0509
V (Å³/cell): 213.2
Size of the total moment (μB/cell): 0.00
Crystal system: monoclinic
E_tot (eV per atom): -1.536

=====

No. 8
## Co21B6Mo2 (GGA-PBE)

Data for a relaxed Co21B6Mo2 crystal.

Cell lengths 7.3892, 7.3892, 7.3892 Å; angles 60.00, 60.00, 60.00 degrees
With the nearest neighbours (Å) after each atom.
Element x y z (fractional)
1 Co 0.6615 0.0000 0.3385  2 B 2.08
2 Co 0.0000 0.6615 0.0000  2 B 2.08
3 Co 0.1458 0.6181 0.6181  3 B 2.07
4 Co 0.3819 0.8542 0.3819  3 B 2.07
5 Co 0.0000 0.3385 0.0000  2 B 2.08
6 Co 0.3385 0.0000 0.0000  2 B 2.08
7 Co 0.3819 0.3819 0.8542  3 B 2.07
8 Co 0.6181 0.6181 0.1458  3 B 2.07
9 Co 0.6615 0.3385 0.0000  2 B 2.08
10 Co 0.6181 0.1458 0.6181  3 B 2.07
11 Co 0.3819 0.3819 0.3819  3 B 2.07
12 Co 0.0000 0.0000 0.0000  12 Co 2.50
13 Co 0.0000 0.3385 0.6615  2 B 2.08
14 Co 0.8542 0.3819 0.3819  3 B 2.07
15 Co 0.0000 0.0000 0.6615  2 B 2.08
16 Co 0.3385 0.6615 0.0000  2 B 2.08
17 Co 0.3385 0.0000 0.6615  2 B 2.08
18 Co 0.0000 0.0000 0.3385  2 B 2.08
19 Co 0.6615 0.0000 0.0000  2 B 2.08
20 Co 0.0000 0.6615 0.3385  2 B 2.08
21 Co 0.6181 0.6181 0.6181  3 B 2.07
22 B 0.7256 0.2744 0.7256  8 Co 2.07-2.08
23 B 0.2744 0.7256 0.7256  8 Co 2.07-2.08
24 B 0.7256 0.2744 0.2744  8 Co 2.07-2.08
25 B 0.7256 0.7256 0.2744  8 Co 2.07-2.08
26 B 0.2744 0.2744 0.7256  8 Co 2.07-2.08
27 B 0.2744 0.7256 0.2744  8 Co 2.07-2.08
28 Mo 0.7500 0.7500 0.7500  4 Co 2.39
29 Mo 0.2500 0.2500 0.2500  4 Co 2.39

SG: Fm-3m (225)
DFT formation energy (eV/atom): -0.2148
V (Å³/cell): 285.3
Size of the total moment (μB/cell): 17.82
Crystal system: cubic
E_tot (eV per atom): -7.489

=====

No. 9
## Sr2TcHg (GGA-PBE)

Data for a relaxed Sr2TcHg crystal.

Cell lengths 4.6926, 4.5726, 6.3026 Å; angles 68.75, 90.00, 90.00 degrees
With the nearest neighbours (Å) after each atom.
Element x y z (fractional)
1 Sr 0.0000 0.9822 0.9111  3 Tc 3.30-3.50, 4 Hg 3.41
2 Sr 0.5000 0.2703 0.3338  3 Hg 3.34-3.44, 4 Tc 3.43
3 Hg 0.5000 0.5635 0.7484  2 Tc 2.74
4 Tc 0.0000 0.6840 0.5066  2 Hg 2.74

SG: Amm2 (38)
DFT formation energy (eV/atom): 0.3092
V (Å³/cell): 126.0
Size of the total moment (μB/cell): 1.90
Crystal system: orthorhombic
E_tot (eV per atom): -3.199

=====

No. 10
## SnSbTe2I (GGA-PBE)

Data for a relaxed SnSbTe2I crystal.

Cell lengths 5.6331, 5.6331, 5.9931 Å; angles 90.00, 90.00, 90.00 degrees
With the nearest neighbours (Å) after each atom.
Element x y z (fractional)
1 Sb 0.0000 0.0000 0.5000  2 Sn 3.00
2 Te 0.0000 0.5000 0.0000  2 Sn 2.82
3 Te 0.5000 0.0000 0.0000  2 Sn 2.82
4 Sn 0.0000 0.0000 0.0000  4 Te 2.82, 2 Sb 3.00
5 I 0.5000 0.5000 0.5000  4 Sb 3.98, 8 Te 4.11

SG: P4/mmm (123)
V (Å³/cell): 190.2
Size of the total moment (μB/cell): 0.00
Crystal system: tetragonal
E_tot (eV per atom): -2.659